# 1
BaCd3Co | GGA-PBEsol | relaxed

Results
Energy   -1.102 eV/atom
Energy of formation   1.59 eV per atom

a b c (Å): 6.2486 6.2486 6.2486
angles (deg): 90.00 90.00 90.00
With the nearest neighbours (Å) after each atom.
Positions (direct):
Cd  0.5000  0.0000  0.0000  2 Ba 3.12
Ba  0.0000  0.0000  0.0000  6 Cd 3.12
Co  0.5000  0.5000  0.5000  12 Cd 4.42
Cd  0.0000  0.0000  0.5000  2 Ba 3.12
Cd  0.0000  0.5000  0.0000  2 Ba 3.12

# 2
BaCd2Co | GGA-PBEsol | relaxed

Results
Energy   -2.662 eV/atom
Energy of formation   0.41 eV per atom

a b c (Å): 5.1323 5.1323 5.1323
angles (deg): 60.00 60.00 60.00
With the nearest neighbours (Å) after each atom.
Positions (direct):
Ba  0.5000  0.5000  0.5000  4 Co 3.14, 4 Cd 3.14
Cd  0.0000  0.0000  0.0000  4 Cd 3.14, 4 Co 3.14
Cd  0.2500  0.2500  0.2500  4 Ba 3.14, 4 Cd 3.14
Co  0.7500  0.7500  0.7500  4 Ba 3.14, 4 Cd 3.14

# 3
Ba2CdCo | GGA-PBEsol | relaxed

Results
Energy   -3.050 eV/atom
Energy of formation   0.26 eV per atom

a b c (Å): 3.7976 3.7968 8.2417
angles (deg): 90.00 89.98 90.00
With the nearest neighbours (Å) after each atom.
Positions (direct):
Cd  0.5000  0.5000  0.0000  8 Ba 3.56, 4 Cd 3.80
Ba  0.0002  0.0000  0.2842  4 Co 3.22, 1 Ba 3.56, 4 Cd 3.56
Ba  0.9998  0.0000  0.7158  4 Co 3.22, 1 Ba 3.56, 4 Cd 3.56
Co  0.5000  0.5000  0.5000  8 Ba 3.22

# 4
BaCdCo2 | GGA-PBEsol | relaxed

Results
Energy   -4.309 eV/atom
Energy of formation   0.40 eV per atom

a b c (Å): 3.7939 4.1442 5.8919
angles (deg): 110.59 90.00 90.00
With the nearest neighbours (Å) after each atom.
Positions (direct):
Co  0.5000  0.7172  0.4345  2 Co 2.17
Cd  0.5000  0.3680  0.7360  6 Co 2.66-2.88
Co  0.0000  0.8121  0.6243  2 Co 2.17
Ba  0.0000  0.0869  0.1739  7 Co 3.03-3.24

# 5
BaCd2Co | GGA-PBEsol | relaxed

Results
Energy   -2.515 eV/atom
Energy of formation   0.56 eV per atom

a b c (Å): 3.3900 5.0411 6.3155
angles (deg): 111.43 102.60 97.22
With the nearest neighbours (Å) after each atom.
Positions (direct):
Ba  0.0000  0.5000  0.0000  2 Co 2.86
Co  0.5000  0.0000  0.0000  2 Ba 2.86
Cd  0.0000  0.0000  0.5000  2 Cd 2.86
Cd  0.5000  0.5000  0.5000  2 Cd 2.86

# 6
Ba2ScCdCo | GGA-PBEsol | relaxed

Results
Energy   -3.424 eV/atom
Energy of formation   0.54 eV per atom

a b c (Å): 4.2172 6.4222 6.4222
angles (deg): 90.00 90.00 90.00
With the nearest neighbours (Å) after each atom.
Positions (direct):
Co  0.5000  0.0000  0.0000  2 Sc 2.11
Cd  0.5000  0.5000  0.5000  8 Ba 3.84, 2 Cd 4.22
Ba  0.0000  0.0000  0.5000  2 Sc 3.21
Ba  0.0000  0.5000  0.0000  2 Sc 3.21
Sc  0.0000  0.0000  0.0000  2 Co 2.11

# 7
BaCrCd | GGA-PBEsol | relaxed

Results
Energy   -4.053 eV/atom
Energy of formation   0.48 eV per atom

a b c (Å): 4.3710 4.9517 4.9517
angles (deg): 120.00 90.00 90.00
With the nearest neighbours (Å) after each atom.
Positions (direct):
Cd  0.5000  0.3333  0.6667  3 Cr 2.86
Ba  0.0000  0.0000  0.0000  6 Cd 3.60, 6 Cr 3.60
Cr  0.5000  0.6667  0.3333  3 Cd 2.86

# 8
CsBaCdNi2 | GGA-PBEsol | relaxed

Results
Energy   -2.485 eV/atom
Energy of formation   0.84 eV per atom

a b c (Å): 5.0167 5.0167 5.7798
angles (deg): 90.00 90.00 90.00
With the nearest neighbours (Å) after each atom.
Positions (direct):
Cd  0.0000  0.0000  0.0000  4 Ni 2.51
Ba  0.5000  0.5000  0.5000  4 Cs 3.55, 8 Ni 3.83
Cs  0.0000  0.0000  0.5000  2 Cd 2.89
Ni  0.0000  0.5000  0.0000  2 Cd 2.51
Ni  0.5000  0.0000  0.0000  2 Cd 2.51